# AcV2TcO8, relaxed, DFT GGA+U
# DFT total energy (eV per atom): -7.857
data_AcV2TcO8
_chemical_formula_sum 'Ac1 V2 Tc1 O8'
_symmetry_space_group_name_H-M 'P 1'
_symmetry_Int_Tables_number 1
_symmetry_space_group_name_Hall 'P 1'
_cell_length_a 5.251
_cell_length_b 5.251
_cell_length_c 7.287
_cell_angle_alpha 88.90
_cell_angle_beta 88.90
_cell_angle_gamma 66.94
loop_
_atom_site_label
_atom_site_type_symbol
_atom_site_fract_x
_atom_site_fract_y
_atom_site_fract_z
Ac1 Ac 0.000 0.000 0.500
V1 V 0.364 0.364 0.780
V2 V 0.636 0.636 0.220
Tc1 Tc 0.000 0.000 0.000
O1 O 0.263 0.786 0.205
O2 O 0.777 0.777 0.054
O3 O 0.786 0.263 0.205
O4 O 0.737 0.214 0.795
O5 O 0.223 0.223 0.946
O6 O 0.214 0.737 0.795
O7 O 0.711 0.711 0.436
O8 O 0.289 0.289 0.564